# Y2Al5Ag12

An optimized crystal structure of Y2Al5Ag12 (PBE-GGA, Alexandria via LeMat-Bulk).

```
data_Y2Al5Ag12
_space_group_name_H-M_alt 'R -3 m'
_space_group_IT_number 166
_space_group_name_Hall '-R 3 2"'
_cell_length_a 9.4204
_cell_length_b 9.4204
_cell_length_c 14.0611
_cell_angle_alpha 90.00
_cell_angle_beta 90.00
_cell_angle_gamma 120.00
loop_
_atom_site_label
_atom_site_type_symbol
_atom_site_fract_x
_atom_site_fract_y
_atom_site_fract_z
Y1 Y 0.0000 0.0000 0.1674
Al1 Al 0.0000 0.0000 0.4055
Al2 Al 0.0000 0.5000 0.0000
Ag1 Ag 0.0000 0.3016 0.5000
Ag2 Ag 0.0104 0.5052 0.3486
```

Values from the calculation:
The energy of formation from the pure elements is -168 meV per atom. The spin magnetization is 0.0 μB/f.u.